(1)
Nb4SiC3: relaxed, GGA-PBE.

total DFT energy (no corrections)	-9.6814	eV per atom
symmetry	P6_3/mmc

Structure (CIF):
```
data_Nb4SiC3
_chemical_formula_sum 'Nb8 Si2 C6'
_cell_length_a 3.195
_cell_length_b 3.195
_cell_length_c 23.085
_cell_angle_alpha 90.00
_cell_angle_beta 90.00
_cell_angle_gamma 120.00
_space_group_name_H-M_alt 'P 1'
_space_group_IT_number 1
_space_group_name_Hall 'P 1'
loop_
_atom_site_label
_atom_site_type_symbol
_atom_site_fract_x
_atom_site_fract_y
_atom_site_fract_z
Nb1 Nb 0.667 0.333 0.558
Nb2 Nb 0.333 0.667 0.442
C1 C 0.333 0.667 0.613
C2 C 0.667 0.333 0.387
Nb3 Nb 0.667 0.333 0.942
C3 C 0.667 0.333 0.113
Nb4 Nb 0.333 0.667 0.058
Nb5 Nb 0.000 0.000 0.335
C4 C 0.000 0.000 0.500
Nb6 Nb 0.000 0.000 0.165
Nb7 Nb 0.000 0.000 0.835
C5 C 0.000 0.000 0.000
C6 C 0.333 0.667 0.887
Nb8 Nb 0.000 0.000 0.665
Si1 Si 0.667 0.333 0.750
Si2 Si 0.333 0.667 0.250
```


(2)
Nb2Si3W4C3: relaxed, GGA-PBE.

total DFT energy (no corrections)	-9.8187	eV per atom
symmetry	C2/c

Structure (CIF):
```
data_Nb2Si3W4C3
_chemical_formula_sum 'Nb4 Si6 W8 C6'
_cell_length_a 5.451
_cell_length_b 5.451
_cell_length_c 12.815
_cell_angle_alpha 102.22
_cell_angle_beta 102.22
_cell_angle_gamma 60.09
_space_group_name_H-M_alt 'P 1'
_space_group_IT_number 1
_space_group_name_Hall 'P 1'
loop_
_atom_site_label
_atom_site_type_symbol
_atom_site_fract_x
_atom_site_fract_y
_atom_site_fract_z
Si1 Si 0.416 0.219 0.751
Nb1 Nb 0.535 0.368 0.106
W1 W 0.304 0.139 0.411
C1 C 0.174 0.663 0.000
W2 W 0.861 0.696 0.089
Si2 Si 0.781 0.584 0.749
C2 C 0.663 0.174 0.500
W3 W 0.027 0.198 0.590
W4 W 0.802 0.973 0.910
W5 W 0.198 0.027 0.090
W6 W 0.139 0.304 0.911
Si3 Si 0.219 0.416 0.251
Nb2 Nb 0.632 0.465 0.394
C3 C 0.500 0.000 0.000
Si4 Si 0.584 0.781 0.249
C4 C 0.000 0.500 0.500
W7 W 0.973 0.802 0.410
Si5 Si 0.949 0.051 0.250
C5 C 0.337 0.826 0.500
W8 W 0.696 0.861 0.589
Si6 Si 0.051 0.949 0.750
C6 C 0.826 0.337 0.000
Nb3 Nb 0.368 0.535 0.606
Nb4 Nb 0.465 0.632 0.894
```


(3)
Nb4Si3W2C3: relaxed, GGA-PBE.

total DFT energy (no corrections)	-9.5595	eV per atom
symmetry	C2/c

Structure (CIF):
```
data_Nb4Si3W2C3
_chemical_formula_sum 'Nb8 Si6 W4 C6'
_cell_length_a 5.509
_cell_length_b 5.509
_cell_length_c 12.897
_cell_angle_alpha 102.32
_cell_angle_beta 102.32
_cell_angle_gamma 59.92
_space_group_name_H-M_alt 'P 1'
_space_group_IT_number 1
_space_group_name_Hall 'P 1'
loop_
_atom_site_label
_atom_site_type_symbol
_atom_site_fract_x
_atom_site_fract_y
_atom_site_fract_z
Nb1 Nb 0.129 0.301 0.898
Nb2 Nb 0.964 0.803 0.398
C1 C 0.162 0.669 0.000
Si1 Si 0.415 0.292 0.749
Si2 Si 0.125 0.875 0.750
Nb3 Nb 0.871 0.699 0.102
C2 C 0.500 0.000 0.000
Nb4 Nb 0.803 0.964 0.898
Si3 Si 0.708 0.585 0.751
Si4 Si 0.292 0.415 0.249
Nb5 Nb 0.036 0.197 0.602
C3 C 0.669 0.162 0.500
Nb6 Nb 0.197 0.036 0.102
Nb7 Nb 0.301 0.129 0.398
C4 C 0.331 0.838 0.500
Si5 Si 0.585 0.708 0.251
C5 C 0.838 0.331 0.000
W1 W 0.356 0.528 0.585
W2 W 0.472 0.644 0.915
Si6 Si 0.875 0.125 0.250
W3 W 0.528 0.356 0.085
Nb8 Nb 0.699 0.871 0.602
C6 C 0.000 0.500 0.500
W4 W 0.644 0.472 0.415
```


(4)
Y4Nb2Si3C3: relaxed, GGA-PBE.

total DFT energy (no corrections)	-8.0723	eV per atom
symmetry	C2/c

Structure (CIF):
```
data_Y4Nb2Si3C3
_chemical_formula_sum 'Y8 Nb4 Si6 C6'
_cell_length_a 5.964
_cell_length_b 5.964
_cell_length_c 14.202
_cell_angle_alpha 102.67
_cell_angle_beta 102.67
_cell_angle_gamma 60.30
_space_group_name_H-M_alt 'P 1'
_space_group_IT_number 1
_space_group_name_Hall 'P 1'
loop_
_atom_site_label
_atom_site_type_symbol
_atom_site_fract_x
_atom_site_fract_y
_atom_site_fract_z
C1 C 0.652 0.196 0.000
Nb1 Nb 0.526 0.351 0.577
Y1 Y 0.121 0.297 0.395
Si1 Si 0.346 0.415 0.752
Y2 Y 0.805 0.956 0.395
Si2 Si 0.177 0.823 0.250
C2 C 0.804 0.348 0.500
C3 C 0.500 0.000 0.500
C4 C 0.000 0.500 0.000
Si3 Si 0.585 0.654 0.748
Nb2 Nb 0.474 0.649 0.423
Si4 Si 0.823 0.177 0.750
C5 C 0.348 0.804 0.000
Nb3 Nb 0.351 0.526 0.077
Y3 Y 0.297 0.121 0.895
Y4 Y 0.703 0.879 0.105
Y5 Y 0.956 0.805 0.895
Si5 Si 0.415 0.346 0.252
Si6 Si 0.654 0.585 0.248
Nb4 Nb 0.649 0.474 0.923
C6 C 0.196 0.652 0.500
Y6 Y 0.879 0.703 0.605
Y7 Y 0.195 0.044 0.605
Y8 Y 0.044 0.195 0.105
```


(5)
Y2Nb4Si3C3: relaxed, GGA-PBE.

total DFT energy (no corrections)	-8.6683	eV per atom
symmetry	C2/c

Structure (CIF):
```
data_Y2Nb4Si3C3
_chemical_formula_sum 'Y4 Nb8 Si6 C6'
_cell_length_a 5.609
_cell_length_b 5.609
_cell_length_c 14.013
_cell_angle_alpha 102.26
_cell_angle_beta 102.26
_cell_angle_gamma 59.89
_space_group_name_H-M_alt 'P 1'
_space_group_IT_number 1
_space_group_name_Hall 'P 1'
loop_
_atom_site_label
_atom_site_type_symbol
_atom_site_fract_x
_atom_site_fract_y
_atom_site_fract_z
C1 C 0.500 0.000 0.000
Nb1 Nb 0.793 0.980 0.915
Nb2 Nb 0.697 0.854 0.585
C2 C 0.672 0.156 0.500
Nb3 Nb 0.980 0.793 0.415
Nb4 Nb 0.146 0.303 0.915
Nb5 Nb 0.854 0.697 0.085
Nb6 Nb 0.020 0.207 0.585
Y1 Y 0.542 0.379 0.116
C3 C 0.844 0.328 0.000
Si1 Si 0.898 0.587 0.752
Si2 Si 0.929 0.071 0.750
Y2 Y 0.458 0.621 0.884
Si3 Si 0.413 0.102 0.748
Nb7 Nb 0.303 0.146 0.415
Si4 Si 0.587 0.898 0.252
C4 C 0.156 0.672 0.000
Y3 Y 0.621 0.458 0.384
Y4 Y 0.379 0.542 0.616
C5 C 0.000 0.500 0.500
Si5 Si 0.071 0.929 0.250
C6 C 0.328 0.844 0.500
Si6 Si 0.102 0.413 0.248
Nb8 Nb 0.207 0.020 0.085
```


(6)
Nb4ZnSiC2: relaxed, GGA-PBE.

total DFT energy (no corrections)	-8.6252	eV per atom
symmetry	P-6m2

Structure (CIF):
```
data_Nb4ZnSiC2
_chemical_formula_sum 'Nb4 Zn1 Si1 C2'
_cell_length_a 3.200
_cell_length_b 3.200
_cell_length_c 13.055
_cell_angle_alpha 90.00
_cell_angle_beta 90.00
_cell_angle_gamma 120.00
_space_group_name_H-M_alt 'P 1'
_space_group_IT_number 1
_space_group_name_Hall 'P 1'
loop_
_atom_site_label
_atom_site_type_symbol
_atom_site_fract_x
_atom_site_fract_y
_atom_site_fract_z
Nb1 Nb 0.667 0.333 0.148
Nb2 Nb 0.667 0.333 0.852
C1 C 0.333 0.667 0.757
Nb3 Nb 0.000 0.000 0.332
Nb4 Nb 0.000 0.000 0.668
Zn1 Zn 0.667 0.333 0.500
C2 C 0.333 0.667 0.243
Si1 Si 0.000 0.000 0.000
```


(7)
SmNb3C: relaxed, GGA-PBE.

total DFT energy (no corrections)	-8.7366	eV per atom
symmetry	Pm-3m

Structure (CIF):
```
data_SmNb3C
_chemical_formula_sum 'Sm1 Nb3 C1'
_cell_length_a 4.489
_cell_length_b 4.489
_cell_length_c 4.489
_cell_angle_alpha 90.00
_cell_angle_beta 90.00
_cell_angle_gamma 90.00
_space_group_name_H-M_alt 'P 1'
_space_group_IT_number 1
_space_group_name_Hall 'P 1'
loop_
_atom_site_label
_atom_site_type_symbol
_atom_site_fract_x
_atom_site_fract_y
_atom_site_fract_z
C1 C 0.000 0.000 0.000
Sm1 Sm 0.500 0.500 0.500
Nb1 Nb 0.000 0.000 0.500
Nb2 Nb 0.500 0.000 0.000
Nb3 Nb 0.000 0.500 0.000
```


(8)
Ta4Nb2Sn3C3: relaxed, GGA-PBE.

total DFT energy (no corrections)	-9.3177	eV per atom
symmetry	C2/c

Structure (CIF):
```
data_Ta4Nb2Sn3C3
_chemical_formula_sum 'Ta8 Nb4 Sn6 C6'
_cell_length_a 5.659
_cell_length_b 5.659
_cell_length_c 14.226
_cell_angle_alpha 101.50
_cell_angle_beta 101.50
_cell_angle_gamma 59.97
_space_group_name_H-M_alt 'P 1'
_space_group_IT_number 1
_space_group_name_Hall 'P 1'
loop_
_atom_site_label
_atom_site_type_symbol
_atom_site_fract_x
_atom_site_fract_y
_atom_site_fract_z
Sn1 Sn 0.919 0.081 0.250
Ta1 Ta 0.694 0.856 0.582
Sn2 Sn 0.081 0.919 0.750
Nb1 Nb 0.472 0.634 0.916
Ta2 Ta 0.977 0.801 0.418
Ta3 Ta 0.856 0.694 0.082
C1 C 0.842 0.329 0.000
Ta4 Ta 0.801 0.977 0.918
Nb2 Nb 0.634 0.472 0.416
Ta5 Ta 0.023 0.199 0.582
Sn3 Sn 0.750 0.585 0.751
Nb3 Nb 0.528 0.366 0.084
C2 C 0.000 0.500 0.500
C3 C 0.329 0.842 0.500
Ta6 Ta 0.144 0.306 0.918
C4 C 0.671 0.158 0.500
Sn4 Sn 0.415 0.250 0.749
C5 C 0.500 0.000 0.000
Ta7 Ta 0.306 0.144 0.418
C6 C 0.158 0.671 0.000
Ta8 Ta 0.199 0.023 0.082
Sn5 Sn 0.585 0.750 0.251
Sn6 Sn 0.250 0.415 0.249
Nb4 Nb 0.366 0.528 0.584
```


(9)
Tm3NbSn2C2: relaxed, GGA-PBE.

total DFT energy (no corrections)	-6.7782	eV per atom
symmetry	P3m1

Structure (CIF):
```
data_Tm3NbSn2C2
_chemical_formula_sum 'Tm3 Nb1 Sn2 C2'
_cell_length_a 3.455
_cell_length_b 3.455
_cell_length_c 15.217
_cell_angle_alpha 90.00
_cell_angle_beta 90.00
_cell_angle_gamma 120.00
_space_group_name_H-M_alt 'P 1'
_space_group_IT_number 1
_space_group_name_Hall 'P 1'
loop_
_atom_site_label
_atom_site_type_symbol
_atom_site_fract_x
_atom_site_fract_y
_atom_site_fract_z
Tm1 Tm 0.333 0.667 0.923
C1 C 0.667 0.333 0.495
Sn1 Sn 0.333 0.667 0.235
Tm2 Tm 0.000 0.000 0.409
Nb1 Nb 0.000 0.000 0.086
Tm3 Tm 0.333 0.667 0.582
Sn2 Sn 0.000 0.000 0.755
C2 C 0.667 0.333 0.014
```


(10)
Tm3NbSn2C2: relaxed, GGA-PBE.

total DFT energy (no corrections)	-6.7782	eV per atom
symmetry	P3m1

Structure (CIF):
```
data_Tm3NbSn2C2
_chemical_formula_sum 'Tm3 Nb1 Sn2 C2'
_cell_length_a 3.455
_cell_length_b 3.455
_cell_length_c 15.217
_cell_angle_alpha 90.00
_cell_angle_beta 90.00
_cell_angle_gamma 120.00
_space_group_name_H-M_alt 'P 1'
_space_group_IT_number 1
_space_group_name_Hall 'P 1'
loop_
_atom_site_label
_atom_site_type_symbol
_atom_site_fract_x
_atom_site_fract_y
_atom_site_fract_z
Nb1 Nb 0.000 0.000 0.914
Tm1 Tm 0.667 0.333 0.418
Tm2 Tm 0.000 0.000 0.591
C1 C 0.333 0.667 0.986
Sn1 Sn 0.667 0.333 0.765
Tm3 Tm 0.667 0.333 0.077
C2 C 0.333 0.667 0.505
Sn2 Sn 0.000 0.000 0.245
```


(11)
TmNb3Sn2C2: relaxed, GGA-PBE.

total DFT energy (no corrections)	-8.1171	eV per atom
symmetry	P3m1

Structure (CIF):
```
data_TmNb3Sn2C2
_chemical_formula_sum 'Tm1 Nb3 Sn2 C2'
_cell_length_a 3.304
_cell_length_b 3.304
_cell_length_c 14.410
_cell_angle_alpha 90.00
_cell_angle_beta 90.00
_cell_angle_gamma 120.00
_space_group_name_H-M_alt 'P 1'
_space_group_IT_number 1
_space_group_name_Hall 'P 1'
loop_
_atom_site_label
_atom_site_type_symbol
_atom_site_fract_x
_atom_site_fract_y
_atom_site_fract_z
Tm1 Tm 0.333 0.667 0.084
Sn1 Sn 0.333 0.667 0.745
Nb1 Nb 0.333 0.667 0.426
Sn2 Sn 0.667 0.333 0.265
Nb2 Nb 0.667 0.333 0.585
C1 C 0.000 0.000 0.985
Nb3 Nb 0.667 0.333 0.905
C2 C 0.000 0.000 0.505
```


(12)
TmNb3Sn2C2: relaxed, GGA-PBE.

total DFT energy (no corrections)	-8.1170	eV per atom
symmetry	P3m1

Structure (CIF):
```
data_TmNb3Sn2C2
_chemical_formula_sum 'Tm1 Nb3 Sn2 C2'
_cell_length_a 3.304
_cell_length_b 3.304
_cell_length_c 14.410
_cell_angle_alpha 90.00
_cell_angle_beta 90.00
_cell_angle_gamma 120.00
_space_group_name_H-M_alt 'P 1'
_space_group_IT_number 1
_space_group_name_Hall 'P 1'
loop_
_atom_site_label
_atom_site_type_symbol
_atom_site_fract_x
_atom_site_fract_y
_atom_site_fract_z
Nb1 Nb 0.667 0.333 0.095
Sn1 Sn 0.000 0.000 0.255
Nb2 Nb 0.667 0.333 0.415
Tm1 Tm 0.000 0.000 0.916
C1 C 0.333 0.667 0.495
Nb3 Nb 0.000 0.000 0.574
Sn2 Sn 0.667 0.333 0.735
C2 C 0.333 0.667 0.015
```


Look up the total DFT energy (no corrections) of the third one.
-9.5595 eV per atom


Look up the total DFT energy (no corrections) of the ninth one.
-6.7782 eV per atom